LaH3Pt (GGA-PBE, relaxed); calculated volume = 56.7 Å³/cell; calculated total energy = -23.82 eV for the cell shown; crystal system = cubic
1.0
3.841 0.000 0.000
0.000 3.841 0.000
0.000 0.000 3.841
La H Pt
1 3 1
Cartesian
0.000 0.000 0.000
0.000 1.921 1.921
1.921 0.000 1.921
1.921 1.921 0.000
1.921 1.921 1.921

***

Mg2MnTl (GGA-PBE, relaxed); calculated volume = 161.7 Å³/cell; crystal system = tetragonal; formation enthalpy at 0 K = 0.72 eV/atom
1.0
-3.810 3.810 2.785
3.810 -3.810 2.785
3.810 3.810 -2.785
Mg Mn Tl
4 2 2
Cartesian
5.715 1.674 -0.696
1.674 1.905 0.696
-1.905 2.136 2.089
2.136 1.905 3.482
0.000 0.000 0.000
0.000 3.810 1.393
3.810 0.000 1.393
0.000 0.000 2.785